No. 1
A PBEsol-optimized structure of Sc2AlSi, computed with SCAN.

Cell and atoms, written as POSCAR:
```
Sc2AlSi
1.0
4.1705 0.0000 0.0000
0.0000 4.1705 0.0000
0.0000 0.0000 8.1000
Sc Al Si
4 2 2
Cartesian
0.0000 2.0852 2.0250 Sc
0.0000 2.0852 6.0750 Sc
2.0852 0.0000 2.0250 Sc
2.0852 0.0000 6.0750 Sc
0.0000 0.0000 0.0000 Al
2.0852 2.0852 4.0500 Al
0.0000 0.0000 4.0500 Si
2.0852 2.0852 0.0000 Si
```

Its size of the total moment is 0.001 μB per atom. The total energy comes out at -12.040 eV per atom.

No. 2
A PBEsol-optimized structure of ScAlSi, computed with SCAN.

Cell and atoms, written as POSCAR:
```
ScAlSi
1.0
6.2434 0.0000 0.0000
0.0000 6.2434 0.0000
0.0000 0.0000 6.2434
Sc Al Si
4 4 4
Cartesian
0.0000 0.0000 0.0000 Sc
0.0000 3.1217 3.1217 Sc
3.1217 0.0000 3.1217 Sc
3.1217 3.1217 0.0000 Sc
1.5608 1.5608 1.5608 Al
1.5608 4.6825 4.6825 Al
4.6825 1.5608 4.6825 Al
4.6825 4.6825 1.5608 Al
1.5608 1.5608 4.6825 Si
1.5608 4.6825 1.5608 Si
4.6825 1.5608 1.5608 Si
4.6825 4.6825 4.6825 Si
```

Its size of the total moment is 0.000 μB per atom. The total energy comes out at -10.566 eV per atom.

No. 3
A PBEsol-optimized structure of Sc3AlSn, computed with SCAN.

Cell and atoms, written as POSCAR:
```
Sc3AlSn
1.0
5.2228 0.0000 0.0000
0.0000 5.2228 0.0000
0.0000 0.0000 5.2228
Sc Al Sn
3 1 1
Cartesian
0.0000 0.0000 2.6114 Sc
0.0000 2.6114 0.0000 Sc
2.6114 0.0000 0.0000 Sc
2.6114 2.6114 2.6114 Al
0.0000 0.0000 0.0000 Sn
```

Its size of the total moment is 0.000 μB per atom. The total energy comes out at -17.033 eV per atom. As for the formation energy: 0.244 eV/atom.